A plane-wave DFT calculation with PBE was carried out for a relaxed ErTi2Ga8 crystal.

```
ErTi2Ga8
1.0
3.641 -5.906 0.000
3.641 5.906 0.000
-1.691 0.000 4.893
Er Ti Ga
1 2 8
Direct
0.000 0.000 0.000 Er
0.283 0.717 0.500 Ti
0.717 0.283 0.500 Ti
0.120 0.335 0.659 Ga
0.252 0.748 0.000 Ga
0.335 0.120 0.659 Ga
0.416 0.416 0.236 Ga
0.584 0.584 0.764 Ga
0.665 0.880 0.341 Ga
0.748 0.252 0.000 Ga
0.880 0.665 0.341 Ga
```

Its total magnetic moment is 0.0 μB/f.u. Its formation energy is -17 kJ/mol of atoms. The value obtained for the density of states at the Fermi level is 4.196 states/eV per cell.